EuLuCuPb: relaxed, GGA-PBE.

Structure (POSCAR):
```
EuLuCuPb
1.0
-2.374 0.040 -4.706
1.806 -3.065 -3.890
-2.797 -4.181 -1.577
Pb Eu Lu Cu
1 1 1 1
Cartesian
0.000 0.000 0.000
-2.524 -5.405 -7.630
-0.841 -1.802 -2.543
-1.683 -3.603 -5.086
```

Summary:
total DFT energy (no corrections)	-5.928	eV per atom
space-group type	No. 216